1.
Entry from Alexandria: a relaxed structure of SmSiAu3 (PBE).

Cell: 6.138 6.138 6.138 Å, 137.93 137.93 61.01°
Sites, in units of the cell vectors:
Sm: 0.601 0.601 0.000
Si: 0.970 0.970 0.000
Au: 0.864 0.364 0.500
Au: 0.364 0.864 0.500
Au: 0.193 0.193 0.000

E above lowest polymorph	0.0000	eV per atom
raw total energy	-22.79	eV/cell
N(E_F)	2.3	states/eV/cell
raw formation energy	-564	meV per atom



2.
Entry from Alexandria: a relaxed structure of K3SeS4 (PBE).

Cell: 6.490 8.469 10.446 Å, 90.00 90.00 90.00°
Last column: magnetic moment on the atom in μB.
Sites, in units of the cell vectors:
K: 0.554 0.857 0.000  0.00
K: 0.065 0.680 0.230  0.00
K: 0.565 0.320 0.270  0.00
K: 0.054 0.143 0.500  0.00
K: 0.565 0.320 0.730  0.00
K: 0.065 0.680 0.770  0.00
Se: 0.983 0.189 0.000  0.07
Se: 0.483 0.811 0.500  0.07
S: 0.053 0.922 0.000  0.12
S: 0.646 0.209 0.000  0.05
S: 0.075 0.305 0.196  0.18
S: 0.575 0.695 0.304  0.18
S: 0.146 0.791 0.500  0.05
S: 0.553 0.078 0.500  0.12
S: 0.575 0.695 0.696  0.18
S: 0.075 0.305 0.804  0.18

raw total energy	-55.39	eV/cell
N(E_F)	2.6	states/eV/cell
raw formation energy	-551	meV per atom



3.
Entry from Alexandria: a relaxed structure of KLi2Bi2 (PBE).

Cell: 4.653 4.653 7.948 Å, 90.01 90.01 115.32°
Sites, in units of the cell vectors:
K: 0.000 0.000 0.000
Li: 0.168 0.832 0.500
Li: 0.832 0.168 0.500
Bi: 0.500 0.500 0.312
Bi: 0.500 0.500 0.688

E above lowest polymorph	0.0564	eV per atom
raw total energy	-14.38	eV/cell
N(E_F)	2.5	states/eV/cell
formation enthalpy at 0 K	-0.34	eV per atom



4.
Entry from Alexandria: a relaxed structure of CaPRu3 (PBE).

Cell: 4.639 4.639 4.639 Å, 90.00 90.00 90.00°
Last column: magnetic moment on the atom in μB.
Sites, in units of the cell vectors:
Ru: 0.000 0.500 0.000  0.59
Ru: 0.000 0.000 0.500  0.41
Ru: 0.500 0.000 0.000  0.54
Ca: 0.000 0.000 0.000  -0.01
P: 0.500 0.500 0.500  -0.06

E above lowest polymorph	2.5220	eV per atom
raw total energy	-22.81	eV/cell
N(E_F)	7.9	states/eV/cell
formation enthalpy at 0 K	2.49	eV per atom



What is the raw total energy in the second record? -55.39 eV/cell



Repeat the fourth record exactly.
Entry from Alexandria: a relaxed structure of CaPRu3 (PBE).

Cell: 4.639 4.639 4.639 Å, 90.00 90.00 90.00°
Last column: magnetic moment on the atom in μB.
Sites, in units of the cell vectors:
Ru: 0.000 0.500 0.000  0.59
Ru: 0.000 0.000 0.500  0.41
Ru: 0.500 0.000 0.000  0.54
Ca: 0.000 0.000 0.000  -0.01
P: 0.500 0.500 0.500  -0.06

E above lowest polymorph	2.5220	eV per atom
raw total energy	-22.81	eV/cell
N(E_F)	7.9	states/eV/cell
formation enthalpy at 0 K	2.49	eV per atom



The highest N(E_F) belongs to which entry? CaPRu3



Which of these has the lowest raw total energy? K3SeS4